(1)
LiLuThPd | PBE | optimized geometry

Density of states at the Fermi level   1.026 states/eV per atom
VASP energy   -80.71 eV per cell
Calculated volume   23.0 A^3/atom
Formation enthalpy at 0 K   -283 meV/atom

```
LiLuThPd
1.0
7.1617 0.0000 0.0000
0.0000 7.1617 0.0000
0.0000 0.0000 7.1617
Li Lu Th Pd
4 4 4 4
direct
0.0000 0.0000 0.0000 Li
0.0000 0.5000 0.5000 Li
0.5000 0.0000 0.5000 Li
0.5000 0.5000 0.0000 Li
0.2500 0.2500 0.2500 Lu
0.2500 0.7500 0.7500 Lu
0.7500 0.2500 0.7500 Lu
0.7500 0.7500 0.2500 Lu
0.2500 0.2500 0.7500 Th
0.2500 0.7500 0.2500 Th
0.7500 0.2500 0.2500 Th
0.7500 0.7500 0.7500 Th
0.0000 0.0000 0.5000 Pd
0.0000 0.5000 0.0000 Pd
0.5000 0.0000 0.0000 Pd
0.5000 0.5000 0.5000 Pd
```


(2)
Li2GaAg8 | PBE | optimized geometry

Density of states at the Fermi level   0.370 states/eV per atom
VASP energy   -30.56 eV per cell
Calculated volume   17.2 A^3/atom
Formation enthalpy at 0 K   -81 meV/atom

```
Li2GaAg8
1.0
7.1223 -2.1200 0.0000
7.1223 2.1200 0.0000
-2.0859 0.0000 6.2492
Li Ga Ag
2 1 8
direct
0.2231 0.2231 0.1433 Li
0.7769 0.7769 0.8567 Li
0.5000 0.5000 0.5000 Ga
0.0459 0.0459 0.2248 Ag
0.1415 0.1415 0.6908 Ag
0.3199 0.3199 0.5858 Ag
0.4037 0.4037 0.0486 Ag
0.5963 0.5963 0.9514 Ag
0.6801 0.6801 0.4142 Ag
0.8585 0.8585 0.3092 Ag
0.9541 0.9541 0.7752 Ag
```


(3)
TaAlMo2 | PBE | optimized geometry

Density of states at the Fermi level   0.462 states/eV per atom
VASP energy   -75.35 eV per cell
Calculated volume   16.2 A^3/atom
Formation enthalpy at 0 K   -105 meV/atom

```
TaAlMo2
1.0
5.5568 0.0000 0.0000
0.0000 8.9353 0.0000
-0.9152 0.0000 2.6131
Ta Al Mo
2 2 4
direct
0.0000 0.0000 0.0000 Ta
0.5000 0.5000 0.0000 Ta
0.0000 0.5000 0.0000 Al
0.5000 0.0000 0.0000 Al
0.2500 0.2500 0.5000 Mo
0.2500 0.7500 0.5000 Mo
0.7500 0.2500 0.5000 Mo
0.7500 0.7500 0.5000 Mo
```


(4)
NaGa7Pt2 | PBE | optimized geometry

Density of states at the Fermi level   0.346 states/eV per atom
VASP energy   -36.92 eV per cell
Calculated volume   22.7 A^3/atom
Formation enthalpy at 0 K   -233 meV/atom

```
NaGa7Pt2
1.0
4.3815 -5.3944 0.0000
4.3815 5.3944 0.0000
0.0000 0.0000 4.7978
Na Ga Pt
1 7 2
direct
0.0000 0.0000 0.0000 Na
0.1023 0.3401 0.5000 Ga
0.2899 0.7101 0.0000 Ga
0.3401 0.1023 0.5000 Ga
0.5000 0.5000 0.5000 Ga
0.6599 0.8977 0.5000 Ga
0.7101 0.2899 0.0000 Ga
0.8977 0.6599 0.5000 Ga
0.2704 0.7296 0.5000 Pt
0.7296 0.2704 0.5000 Pt
```


(5)
NaSmInAg | PBE | optimized geometry

Density of states at the Fermi level   0.803 states/eV per atom
VASP energy   -49.51 eV per cell
Calculated volume   25.3 A^3/atom
Formation enthalpy at 0 K   -188 meV/atom

```
NaSmInAg
1.0
7.3959 0.0000 0.0000
0.0000 7.3959 0.0000
0.0000 0.0000 7.3959
Na Sm In Ag
4 4 4 4
direct
0.0000 0.0000 0.0000 Na
0.0000 0.5000 0.5000 Na
0.5000 0.0000 0.5000 Na
0.5000 0.5000 0.0000 Na
0.0000 0.0000 0.5000 Sm
0.0000 0.5000 0.0000 Sm
0.5000 0.0000 0.0000 Sm
0.5000 0.5000 0.5000 Sm
0.2500 0.2500 0.7500 In
0.2500 0.7500 0.2500 In
0.7500 0.2500 0.2500 In
0.7500 0.7500 0.7500 In
0.2500 0.2500 0.2500 Ag
0.2500 0.7500 0.7500 Ag
0.7500 0.2500 0.7500 Ag
0.7500 0.7500 0.2500 Ag
```


(6)
PrInHg2 | PBE | optimized geometry

Density of states at the Fermi level   0.559 states/eV per atom
VASP energy   -9.35 eV per cell
Calculated volume   26.6 A^3/atom
Formation enthalpy at 0 K   -308 meV/atom

```
PrInHg2
1.0
3.7880 0.0000 0.0000
0.0000 3.7880 0.0000
0.0000 0.0000 7.4134
Pr In Hg
1 1 2
direct
0.0000 0.0000 0.0000 Pr
0.0000 0.0000 0.5000 In
0.5000 0.5000 0.2627 Hg
0.5000 0.5000 0.7373 Hg
```


(7)
Li2HoGa2Ge2 | PBE | optimized geometry

Density of states at the Fermi level   0.316 states/eV per atom
VASP energy   -26.46 eV per cell
Calculated volume   18.1 A^3/atom
Formation enthalpy at 0 K   -395 meV/atom

```
Li2HoGa2Ge2
1.0
2.1807 1.2590 7.6863
-2.1807 1.2590 7.6863
0.0000 -2.5180 7.6863
Li Ho Ga Ge
2 1 2 2
direct
0.1429 0.1429 0.1429 Li
0.8571 0.8571 0.8571 Li
0.0000 0.0000 0.0000 Ho
0.4400 0.4400 0.4400 Ga
0.5600 0.5600 0.5600 Ga
0.2599 0.2599 0.2599 Ge
0.7401 0.7401 0.7401 Ge
```


(8)
LiDy2ErS4 | PBE | optimized geometry

Density of states at the Fermi level   0.309 states/eV per atom
VASP energy   -47.66 eV per cell
Calculated volume   20.4 A^3/atom

```
LiDy2ErS4
1.0
6.6924 0.0000 0.0000
0.0000 3.8640 0.0000
-2.2226 0.0000 6.3174
Li Dy Er S
1 2 1 4
direct
0.0000 0.0000 0.0000 Li
0.0000 0.5000 0.5000 Dy
0.5000 0.0000 0.5000 Dy
0.5000 0.5000 0.0000 Er
0.2452 0.5000 0.2428 S
0.2476 0.0000 0.7572 S
0.7524 0.0000 0.2428 S
0.7548 0.5000 0.7572 S
```


(9)
SrAg2O4 | PBE | optimized geometry

VASP energy   -66.14 eV per cell
Energy above the most stable polymorph in this dataset   0.105 eV per atom
Calculated volume   15.9 A^3/atom

```
SrAg2O4
1.0
0.0000 4.9733 6.5113
3.4325 0.0000 6.5113
3.4325 4.9733 0.0000
Sr Ag O
2 4 8
direct
0.1250 0.1250 0.1250 Sr
0.8750 0.8750 0.8750 Sr
0.0000 0.5000 0.5000 Ag
0.5000 0.0000 0.5000 Ag
0.5000 0.5000 0.0000 Ag
0.5000 0.5000 0.5000 Ag
0.1726 0.3501 0.7315 O
0.2459 0.7315 0.3501 O
0.2685 0.7541 0.8274 O
0.3501 0.1726 0.2459 O
0.6499 0.8274 0.7541 O
0.7315 0.2459 0.1726 O
0.7541 0.2685 0.6499 O
0.8274 0.6499 0.2685 O
```


(10)
PuHRu | PBE | optimized geometry

Density of states at the Fermi level   2.002 states/eV per atom
VASP energy   -26.86 eV per cell
Energy above the most stable polymorph in this dataset   0.031 eV per atom
Calculated volume   14.0 A^3/atom

```
PuHRu
1.0
3.2462 0.0000 0.0000
-1.6231 2.8113 0.0000
0.0000 0.0000 4.6034
Pu H Ru
1 1 1
direct
0.0000 0.0000 0.0000 Pu
0.6667 0.3333 0.4799 H
0.3333 0.6667 0.5004 Ru
```


> Which of these has the lowest calculated volume?

PuHRu